Here is a crystal of ScNbMo2 relaxed with PBEsol from the Alexandria database. Energies are from SCAN.

Lattice parameters (Å, degrees): 6.448 6.448 6.448 90.00 90.00 90.00
Space group Fm-3m (No. 225)
One atom of each set of equivalent atoms:
Sc  0.000  0.000  0.000
Nb  0.000  0.000  0.500
Mo  0.250  0.250  0.250

Calculated values
calculated formation energy: 0.157 eV per atom

---

Here is a crystal of NbMoSe4 relaxed with PBEsol from the Alexandria database. Energies are from SCAN.

Lattice parameters (Å, degrees): 3.3556 3.3556 12.5652 90.00 90.00 120.00
Space group P-6m2 (No. 187)
One atom of each set of equivalent atoms:
Nb  0.0000  0.0000  0.0000
Mo  0.0000  0.0000  0.5000
Se  0.3333  0.6667  0.3703
Se  0.6667  0.3333  0.1355

Calculated values
ΔE_f (raw): -0.783 eV/atom

---

Here is a crystal of NbSi3Mo relaxed with PBEsol from the Alexandria database. Energies are from SCAN.

Lattice parameters (Å, degrees): 4.725 4.725 4.725 90.00 90.00 90.00
Space group Pm-3m (No. 221)
One atom of each set of equivalent atoms:
Nb  0.000  0.000  0.000
Si  0.000  0.000  0.500
Mo  0.500  0.500  0.500

Calculated values
ΔE_f (raw): 1.307 eV/atom

---

Here is a crystal of NbSi4Mo relaxed with PBEsol from the Alexandria database. Energies are from SCAN.

Lattice parameters (Å, degrees): 4.677 13.046 4.693 90.00 119.72 90.00
Space group P2 (No. 3)
One atom of each set of equivalent atoms:
Nb  0.000  0.000  0.000
Nb  0.000  0.499  0.000
Nb  0.500  0.666  0.000
Si  0.176  0.167  0.341
Si  0.179  0.667  0.341
Si  0.336  0.498  0.657
Si  0.338  0.833  0.179
Si  0.339  0.999  0.664
Si  0.342  0.332  0.175
Mo  0.000  0.332  0.500
Mo  0.000  0.833  0.500
Mo  0.500  0.167  0.000

Calculated values
ΔE_f (raw): -0.453 eV/atom

---

Here is a crystal of Y2NbSiMo relaxed with PBEsol from the Alexandria database. Energies are from SCAN.

Lattice parameters (Å, degrees): 5.206 5.206 4.665 90.00 90.00 90.00
Space group P4/mmm (No. 123)
One atom of each set of equivalent atoms:
Y  0.000  0.500  0.000
Nb  0.000  0.000  0.500
Si  0.000  0.000  0.000
Mo  0.500  0.500  0.500

Calculated values
ΔE_f (raw): 0.706 eV/atom

---

Here is a crystal of NbSn2Mo relaxed with PBEsol from the Alexandria database. Energies are from SCAN.

Lattice parameters (Å, degrees): 6.653 6.653 6.653 90.00 90.00 90.00
Space group Fm-3m (No. 225)
One atom of each set of equivalent atoms:
Nb  0.000  0.000  0.000
Sn  0.250  0.250  0.250
Mo  0.000  0.000  0.500

Calculated values
calculated formation energy: 0.293 eV per atom

---

Here is a crystal of Nb2Sn2Mo relaxed with PBEsol from the Alexandria database. Energies are from SCAN.

Lattice parameters (Å, degrees): 3.736 3.736 14.231 90.00 90.00 90.00
Space group I4/mmm (No. 139)
One atom of each set of equivalent atoms:
Nb  0.000  0.500  0.250
Sn  0.000  0.000  0.096
Mo  0.000  0.000  0.500

Calculated values
calculated formation energy: 0.600 eV per atom

---

Here is a crystal of TaNbMo2 relaxed with PBEsol from the Alexandria database. Energies are from SCAN.

Lattice parameters (Å, degrees): 6.389 6.389 6.389 90.00 90.00 90.00
Space group Fm-3m (No. 225)
One atom of each set of equivalent atoms:
Ta  0.000  0.000  0.000
Nb  0.000  0.000  0.500
Mo  0.250  0.250  0.250

Calculated values
calculated formation energy: -0.164 eV per atom

---

Here is a crystal of TaNbMo relaxed with PBEsol from the Alexandria database. Energies are from SCAN.

Lattice parameters (Å, degrees): 3.199 4.661 13.486 90.00 90.00 90.00
Space group Fmm2 (No. 42)
One atom of each set of equivalent atoms:
Ta  0.000  0.000  0.000
Nb  0.000  0.000  0.325
Mo  0.000  0.000  0.662

Calculated values
calculated formation energy: -0.072 eV per atom

---

Here is a crystal of Ta3NbMo relaxed with PBEsol from the Alexandria database. Energies are from SCAN.

Lattice parameters (Å, degrees): 4.717 4.717 4.717 90.00 90.00 90.00
Space group Pm-3m (No. 221)
One atom of each set of equivalent atoms:
Ta  0.000  0.000  0.500
Nb  0.500  0.500  0.500
Mo  0.000  0.000  0.000

Calculated values
calculated formation energy: 1.460 eV per atom

---

Here is a crystal of Ta2NbMo relaxed with PBEsol from the Alexandria database. Energies are from SCAN.

Lattice parameters (Å, degrees): 6.468 6.468 6.468 90.00 90.00 90.00
Space group Fm-3m (No. 225)
One atom of each set of equivalent atoms:
Ta  0.250  0.250  0.250
Nb  0.000  0.000  0.000
Mo  0.000  0.000  0.500

Calculated values
calculated formation energy: -0.086 eV per atom

---

Here is a crystal of Ti2NbMo relaxed with PBEsol from the Alexandria database. Energies are from SCAN.

Lattice parameters (Å, degrees): 6.348 6.348 6.348 90.00 90.00 90.00
Space group Fm-3m (No. 225)
One atom of each set of equivalent atoms:
Ti  0.250  0.250  0.250
Nb  0.000  0.000  0.000
Mo  0.000  0.000  0.500

Calculated values
calculated formation energy: 0.041 eV per atom

---

Here is a crystal of NbV2Mo relaxed with PBEsol from the Alexandria database. Energies are from SCAN.

Lattice parameters (Å, degrees): 6.164 6.164 6.164 90.00 90.00 90.00
Space group Fm-3m (No. 225)
One atom of each set of equivalent atoms:
Nb  0.000  0.000  0.000
V  0.250  0.250  0.250
Mo  0.000  0.000  0.500

Calculated values
calculated formation energy: -0.025 eV per atom

---

Here is a crystal of NbMoW relaxed with PBEsol from the Alexandria database. Energies are from SCAN.

Lattice parameters (Å, degrees): 3.178 4.509 13.490 90.00 90.00 90.00
Space group Fmm2 (No. 42)
One atom of each set of equivalent atoms:
Nb  0.000  0.000  0.000
Mo  0.000  0.000  0.331
W  0.000  0.000  0.670

Calculated values
calculated formation energy: -0.055 eV per atom

---

Q: Which magnetic moment values were calculated for the entries above? A: 0.00 0.00 4.27 0.00 2.58 0.00 0.00 0.00 0.00 0.00 0.00 0.00 0.00 0.00, in μB per formula unit.
Q: Which final energy values were calculated for the entries above? A: -29.13 -25.50 -18.31 -18.47 -26.04 -34.67 -34.00 -42.53 -44.94 -52.09 -50.38 -24.98 -25.77 -45.96, in eV/atom.